PBE MgSiAs2, optimized geometry; V = 192.8 Å³ per cell; total moment = 0.00 μB/f.u.; E above lowest polymorph = 0.000 eV per formula unit; formation energy (no corrections) = -317 meV/atom
1.0
5.977 0.000 0.000
0.000 5.977 0.000
2.988 2.988 5.398
Mg As Si
2 4 2
Cartesian
2.988 2.988 0.000
2.988 5.977 2.699
4.696 1.494 1.349
1.280 4.482 1.349
4.482 4.269 4.048
7.471 7.684 4.048
0.000 0.000 0.000
5.977 2.988 2.699